Computed, not measured: a relaxed Zr2CrOs2 crystal at the GGA-PBE level of DFT.

Structure (POSCAR):
```
Zr2CrOs2
1.0
6.347 0.000 0.000
0.000 6.347 0.000
0.000 0.000 4.439
Cr Os Zr
2 4 4
Direct
0.000 0.000 0.000
0.500 0.500 0.000
0.358 0.858 0.000
0.858 0.642 0.000
0.642 0.142 0.000
0.142 0.358 0.000
0.180 0.680 0.500
0.680 0.820 0.500
0.820 0.320 0.500
0.320 0.180 0.500
```

Values from the calculation:
V	178.8	Å³ per cell
raw total energy	-0.3653	hartree per atom



Computed, not measured: a relaxed Zr4CrOs crystal at the GGA-PBE level of DFT.

Structure (POSCAR):
```
Zr4CrOs
1.0
-2.734 -4.576 1.620
-1.454 -0.632 5.341
-5.358 0.337 1.487
Zr Cr Os
4 1 1
Direct
0.878 0.374 0.374
0.374 0.374 0.878
0.374 0.878 0.374
0.374 0.374 0.374
0.750 0.750 0.750
0.000 0.000 0.000
```

Values from the calculation:
V	122.3	Å³ per cell
raw total energy	-0.3110	hartree per atom



Computed, not measured: a relaxed ZrCrOs crystal at the GGA-PBE level of DFT.

Structure (POSCAR):
```
ZrCrOs
1.0
4.958 0.000 0.000
2.479 4.204 0.000
2.479 0.000 9.089
Os Cr Zr
4 4 4
Direct
0.178 0.500 0.644
0.322 0.500 0.356
0.572 0.000 0.856
0.428 0.000 0.144
0.625 0.500 0.750
0.875 0.500 0.250
0.125 0.000 0.750
0.875 0.000 0.250
0.923 0.153 0.500
0.577 0.847 0.500
0.827 0.347 0.000
0.173 0.653 0.000
```

Values from the calculation:
V	189.5	Å³ per cell
raw total energy	-0.3539	hartree per atom



Computed, not measured: a relaxed ZrCrOs crystal at the GGA-PBE level of DFT.

Structure (POSCAR):
```
ZrCrOs
1.0
-0.695 -3.098 -2.975
0.125 -1.030 4.225
-2.858 0.454 0.195
Cr Os Zr
1 1 1
Direct
0.000 0.000 0.022
0.667 0.333 0.304
0.333 0.667 0.674
```

Values from the calculation:
V	47.6	Å³ per cell
raw total energy	-0.3566	hartree per atom



Computed, not measured: a relaxed ZrCrOs crystal at the GGA-PBE level of DFT.

Structure (POSCAR):
```
ZrCrOs
1.0
-0.865 -3.912 1.690
3.115 -3.029 0.178
1.709 -1.139 3.833
Cr Os Zr
1 1 1
Direct
0.500 0.500 0.500
0.750 0.750 0.750
0.000 0.000 0.000
```

Values from the calculation:
V	58.1	Å³ per cell
raw total energy	-0.3461	hartree per atom



Computed, not measured: a relaxed Zr2CrOs2 crystal at the GGA-PBE level of DFT.

Structure (POSCAR):
```
Zr2CrOs2
1.0
-2.860 -1.018 7.170
2.585 -7.344 -0.012
2.702 0.949 1.212
Cr Os Zr
2 4 4
Direct
0.000 0.000 0.000
0.500 0.500 0.000
0.152 0.652 0.500
0.652 0.848 0.500
0.848 0.348 0.500
0.348 0.152 0.500
0.353 0.853 0.000
0.853 0.647 0.000
0.647 0.147 0.000
0.147 0.353 0.000
```

Values from the calculation:
V	188.5	Å³ per cell
raw total energy	-0.3509	hartree per atom



no.,formation energy (eV/atom),density (g/cm³)
1,-0.1043,11.420
2,0.7123,8.245
3,0.1711,11.690
4,0.0961,11.642
5,0.3814,9.523
6,0.2878,10.834